VASP calculation (PBE) on a relaxed Tb2Si4NiPd crystal.

Structure (POSCAR):
```
Tb2Si4NiPd
1.0
4.042 0.000 0.000
0.000 2.021 8.452
0.000 -2.021 8.452
Ni Pd Si Tb
1 1 4 2
Cartesian
0.000 0.000 5.477 Ni
2.021 0.000 11.412 Pd
2.021 0.000 4.341 Si
0.000 0.000 7.753 Si
2.021 0.000 9.015 Si
0.000 0.000 12.780 Si
0.000 0.000 1.693 Tb
2.021 0.000 15.142 Tb
```

Computed properties:
- space group = No. 38
- spin magnetization (μB/cell) = 0.00
- raw total energy (eV per atom) = -6.044

=====

VASP calculation (PBE) on a relaxed TmSi2NiPd crystal.

Structure (POSCAR):
```
TmSi2NiPd
1.0
5.064 0.082 2.552
0.547 -2.038 5.264
-2.232 -1.595 -4.964
Ni Pd Si Tm
1 1 2 1
Cartesian
2.819 -1.246 0.748 Ni
0.560 -2.306 2.104 Pd
0.665 -0.232 0.926 Si
4.946 -1.725 6.890 Si
2.806 -0.978 3.908 Tm
```

Computed properties:
- space group = No. 119
- spin magnetization (μB/cell) = 0.00
- raw total energy (eV per atom) = -6.072

=====

VASP calculation (PBE) on a relaxed YSi2NiPd crystal.

Structure (POSCAR):
```
YSi2NiPd
1.0
5.046 1.719 2.022
2.273 4.872 -1.898
-4.991 -1.856 2.037
Ni Pd Si Y
1 1 2 1
Cartesian
0.000 0.000 0.000 Ni
3.660 3.295 0.062 Pd
0.980 0.788 2.046 Si
2.735 2.369 2.075 Si
0.471 3.155 0.101 Y
```

Computed properties:
- space group = No. 119
- spin magnetization (μB/cell) = 0.00
- raw total energy (eV per atom) = -6.491

=====

VASP calculation (PBE) on a relaxed ZnSiNiPd crystal.

Structure (POSCAR):
```
ZnSiNiPd
1.0
-2.800 0.559 3.056
-3.967 -1.202 -0.553
-1.497 -3.297 2.092
Ni Pd Si Zn
1 1 1 1
Cartesian
-6.198 -2.955 3.447 Ni
-2.066 -0.985 1.149 Pd
0.000 0.000 0.000 Si
-4.132 -1.970 2.298 Zn
```

Computed properties:
- space group = No. 216
- spin magnetization (μB/cell) = 0.01
- raw total energy (eV per atom) = -4.729

=====

VASP calculation (PBE) on a relaxed Zr2Si2NiPd crystal.

Structure (POSCAR):
```
Zr2Si2NiPd
1.0
7.323 0.000 0.000
0.000 4.212 0.000
-2.375 0.000 13.793
Ni Pd Si Zr
4 4 8 8
Cartesian
2.463 0.000 6.931 Ni
-1.184 2.106 6.947 Ni
0.038 0.000 10.303 Ni
-2.361 0.000 13.766 Ni
1.234 2.106 3.458 Pd
4.908 0.000 3.483 Pd
3.712 2.106 10.330 Pd
1.285 2.106 13.750 Pd
0.025 0.000 2.541 Si
3.671 2.106 2.580 Si
1.239 2.106 6.118 Si
4.922 0.000 6.126 Si
-1.156 2.106 9.436 Si
2.444 0.000 9.437 Si
0.034 0.000 12.880 Si
3.760 2.106 12.920 Si
1.154 2.106 0.798 Zr
4.972 0.000 0.843 Zr
2.464 0.000 4.418 Zr
6.128 2.106 4.428 Zr
3.686 2.106 7.698 Zr
0.040 0.000 7.771 Zr
1.184 2.106 11.108 Zr
5.019 0.000 11.237 Zr
```

Computed properties:
- space group = No. 6
- spin magnetization (μB/cell) = 0.01
- raw total energy (eV per atom) = -7.216

=====

VASP calculation (PBE) on a relaxed SmNi4Pd crystal.

Structure (POSCAR):
```
SmNi4Pd
1.0
0.000 3.485 3.485
3.485 0.000 3.485
3.485 3.485 0.000
Ni Pd Sm
4 1 1
Cartesian
2.618 2.618 2.618 Ni
2.618 4.351 4.351 Ni
4.351 2.618 4.351 Ni
4.351 4.351 2.618 Ni
5.227 5.227 5.227 Pd
0.000 0.000 0.000 Sm
```

Computed properties:
- space group = No. 216
- spin magnetization (μB/cell) = 0.05
- raw total energy (eV per atom) = -5.666
- energy of formation (eV per formula unit) = -1.84

=====

VASP calculation (PBE) on a relaxed SmNiPd crystal.

Structure (POSCAR):
```
SmNiPd
1.0
1.947 3.273 2.542
-2.093 1.510 3.782
1.709 -1.018 4.124
Ni Pd Sm
1 1 1
Cartesian
0.391 0.941 2.612 Ni
1.172 2.824 7.836 Pd
0.000 0.000 0.000 Sm
```

Computed properties:
- space group = No. 216
- spin magnetization (μB/cell) = 0.00
- raw total energy (eV per atom) = -5.064
- energy of formation (eV per formula unit) = 0.26

=====

VASP calculation (PBE) on a relaxed SmNiPd crystal.

Structure (POSCAR):
```
SmNiPd
1.0
0.000 3.134 3.134
3.134 0.000 3.134
3.134 3.134 0.000
Ni Pd Sm
1 1 1
Cartesian
0.000 0.000 0.000 Ni
1.567 1.567 1.567 Pd
4.701 4.701 4.701 Sm
```

Computed properties:
- space group = No. 216
- spin magnetization (μB/cell) = 0.00
- raw total energy (eV per atom) = -5.506
- energy of formation (eV per formula unit) = -1.06

=====

VASP calculation (PBE) on a relaxed SmZn3NiPd crystal.

Structure (POSCAR):
```
SmZn3NiPd
1.0
5.283 0.000 0.000
-2.641 4.575 0.000
0.000 0.000 4.199
Ni Pd Sm Zn
1 1 1 3
Cartesian
0.000 0.000 0.000 Ni
0.000 3.050 0.000 Pd
2.641 1.525 0.000 Sm
0.000 1.489 2.100 Zn
-1.352 3.831 2.100 Zn
1.352 3.831 2.100 Zn
```

Computed properties:
- space group = No. 187
- spin magnetization (μB/cell) = 0.00
- raw total energy (eV per atom) = -3.711
- energy of formation (eV per formula unit) = -3.02

=====

VASP calculation (PBE) on a relaxed NiSnPd2 crystal.

Structure (POSCAR):
```
NiSnPd2
1.0
0.000 3.141 3.141
3.141 0.000 3.141
3.141 3.141 0.000
Ni Pd Sn
1 2 1
Cartesian
1.570 1.570 1.570 Ni
0.000 0.000 0.000 Pd
4.711 4.711 4.711 Pd
3.141 3.141 3.141 Sn
```

Computed properties:
- space group = No. 216
- spin magnetization (μB/cell) = 0.01
- raw total energy (eV per atom) = -5.299

=====

VASP calculation (PBE) on a relaxed TaNiSnPd crystal.

Structure (POSCAR):
```
TaNiSnPd
1.0
-0.713 -1.106 4.329
-2.474 2.708 2.649
-4.116 -1.304 1.353
Ni Pd Sn Ta
1 1 1 1
Cartesian
-5.477 0.224 6.249 Ni
-3.651 0.149 4.166 Pd
0.000 0.000 0.000 Sn
-1.826 0.075 2.083 Ta
```

Computed properties:
- space group = No. 216
- spin magnetization (μB/cell) = 0.00
- raw total energy (eV per atom) = -6.672

=====

VASP calculation (PBE) on a relaxed TaNiSnPd crystal.

Structure (POSCAR):
```
TaNiSnPd
1.0
0.000 3.188 3.188
3.188 0.000 3.188
3.188 3.188 0.000
Ni Pd Sn Ta
1 1 1 1
Cartesian
4.782 4.782 4.782 Ni
1.594 1.594 1.594 Pd
0.000 0.000 0.000 Sn
3.188 3.188 3.188 Ta
```

Computed properties:
- space group = No. 216
- spin magnetization (μB/cell) = 0.00
- raw total energy (eV per atom) = -6.825